Below is an optimized crystal structure of LiCdP2, with properties calculated at the PBE level.

Computed properties:
For the density of states at the Fermi level, the calculation gives 0.69 states/eV/atom. The size of the total moment is 0.00 μB/f.u. The calculated formation energy comes out at 264 meV per atom.

Geometry as CIF:
```
data_LiCdP2
_symmetry_space_group_name_H-M 'P 1'
_symmetry_Int_Tables_number 1
_symmetry_space_group_name_Hall 'P 1'
_cell_length_a 6.480
_cell_length_b 6.480
_cell_length_c 6.480
_cell_angle_alpha 90.00
_cell_angle_beta 90.00
_cell_angle_gamma 90.00
loop_
_atom_site_label
_atom_site_fract_x
_atom_site_fract_y
_atom_site_fract_z
Li1 0.000 0.000 0.000
Li2 0.000 0.500 0.500
Li3 0.500 0.000 0.500
Li4 0.500 0.500 0.000
Cd1 0.250 0.250 0.750
Cd2 0.250 0.750 0.250
Cd3 0.750 0.250 0.250
Cd4 0.750 0.750 0.750
P1 0.000 0.000 0.500
P2 0.000 0.500 0.000
P3 0.250 0.250 0.250
P4 0.250 0.750 0.750
P5 0.500 0.000 0.000
P6 0.500 0.500 0.500
P7 0.750 0.250 0.750
P8 0.750 0.750 0.250
```

=====

Below is an optimized crystal structure of LiCd2P, with properties calculated at the PBE level.

Computed properties:
For the density of states at the Fermi level, the calculation gives 0.14 states/eV/atom. The size of the total moment is 0.00 μB/f.u. The calculated formation energy comes out at -14 meV per atom.

Geometry as CIF:
```
data_LiCd2P
_symmetry_space_group_name_H-M 'P 1'
_symmetry_Int_Tables_number 1
_symmetry_space_group_name_Hall 'P 1'
_cell_length_a 3.033
_cell_length_b 3.033
_cell_length_c 8.306
_cell_angle_alpha 90.00
_cell_angle_beta 90.00
_cell_angle_gamma 90.00
loop_
_atom_site_label
_atom_site_fract_x
_atom_site_fract_y
_atom_site_fract_z
Li1 0.000 0.000 0.000
Cd1 0.000 0.000 0.436
Cd2 0.500 0.500 0.729
P1 0.500 0.500 0.187
```

=====

Below is an optimized crystal structure of LiCdP, with properties calculated at the PBE level.

Computed properties:
For the density of states at the Fermi level, the calculation gives 0.00 states/eV/atom. The size of the total moment is 0.00 μB/f.u. The calculated formation energy comes out at -340 meV per atom.

Geometry as CIF:
```
data_LiCdP
_symmetry_space_group_name_H-M 'P 1'
_symmetry_Int_Tables_number 1
_symmetry_space_group_name_Hall 'P 1'
_cell_length_a 7.490
_cell_length_b 7.490
_cell_length_c 7.490
_cell_angle_alpha 33.85
_cell_angle_beta 33.85
_cell_angle_gamma 33.85
loop_
_atom_site_label
_atom_site_fract_x
_atom_site_fract_y
_atom_site_fract_z
Li1 0.000 0.000 0.000
Li2 0.392 0.392 0.392
Cd1 0.139 0.139 0.139
Cd2 0.615 0.615 0.615
P1 0.260 0.260 0.260
P2 0.750 0.750 0.750
```

=====

Below is an optimized crystal structure of LiCdP2, with properties calculated at the PBE level.

Computed properties:
For the density of states at the Fermi level, the calculation gives 0.36 states/eV/atom. The size of the total moment is 0.00 μB/f.u. The calculated formation energy comes out at 123 meV per atom.

Geometry as CIF:
```
data_LiCdP2
_symmetry_space_group_name_H-M 'P 1'
_symmetry_Int_Tables_number 1
_symmetry_space_group_name_Hall 'P 1'
_cell_length_a 3.923
_cell_length_b 3.923
_cell_length_c 8.820
_cell_angle_alpha 90.00
_cell_angle_beta 90.00
_cell_angle_gamma 90.00
loop_
_atom_site_label
_atom_site_fract_x
_atom_site_fract_y
_atom_site_fract_z
Li1 0.000 0.000 0.000
Li2 0.500 0.500 0.500
Cd1 0.000 0.500 0.250
Cd2 0.500 0.000 0.750
P1 0.000 0.000 0.500
P2 0.000 0.500 0.750
P3 0.500 0.000 0.250
P4 0.500 0.500 0.000
```

=====

Below is an optimized crystal structure of LiCdP2, with properties calculated at the PBE level.

Computed properties:
For the density of states at the Fermi level, the calculation gives 0.23 states/eV/atom. The size of the total moment is 0.00 μB/f.u. The calculated formation energy comes out at -19 meV per atom.

Geometry as CIF:
```
data_LiCdP2
_symmetry_space_group_name_H-M 'P 1'
_symmetry_Int_Tables_number 1
_symmetry_space_group_name_Hall 'P 1'
_cell_length_a 3.114
_cell_length_b 3.114
_cell_length_c 7.582
_cell_angle_alpha 90.00
_cell_angle_beta 90.00
_cell_angle_gamma 90.00
loop_
_atom_site_label
_atom_site_fract_x
_atom_site_fract_y
_atom_site_fract_z
Li1 0.000 0.000 0.000
Cd1 0.500 0.500 0.720
P1 0.000 0.000 0.351
P2 0.500 0.500 0.233
```

=====

Below is an optimized crystal structure of LiCdP, with properties calculated at the PBE level.

Computed properties:
For the density of states at the Fermi level, the calculation gives 0.01 states/eV/atom. The size of the total moment is 0.00 μB/f.u. The calculated formation energy comes out at -174 meV per atom.

Geometry as CIF:
```
data_LiCdP
_symmetry_space_group_name_H-M 'P 1'
_symmetry_Int_Tables_number 1
_symmetry_space_group_name_Hall 'P 1'
_cell_length_a 4.249
_cell_length_b 4.249
_cell_length_c 4.468
_cell_angle_alpha 90.00
_cell_angle_beta 90.00
_cell_angle_gamma 120.00
loop_
_atom_site_label
_atom_site_fract_x
_atom_site_fract_y
_atom_site_fract_z
Li1 0.000 0.000 0.000
Cd1 0.333 0.667 0.382
P1 0.667 0.333 0.235
```

=====

Below is an optimized crystal structure of LiCdP, with properties calculated at the PBE level.

Computed properties:
For the density of states at the Fermi level, the calculation gives 0.00 states/eV/atom. The size of the total moment is 0.00 μB/f.u. The calculated formation energy comes out at -378 meV per atom.

Geometry as CIF:
```
data_LiCdP
_symmetry_space_group_name_H-M 'P 1'
_symmetry_Int_Tables_number 1
_symmetry_space_group_name_Hall 'P 1'
_cell_length_a 4.255
_cell_length_b 6.094
_cell_length_c 4.652
_cell_angle_alpha 90.00
_cell_angle_beta 90.00
_cell_angle_gamma 90.00
loop_
_atom_site_label
_atom_site_fract_x
_atom_site_fract_y
_atom_site_fract_z
Li1 0.000 0.036 0.000
Li2 0.500 0.964 0.500
Cd1 0.000 0.572 0.817
Cd2 0.500 0.428 0.317
P1 0.000 0.224 0.500
P2 0.500 0.776 0.000
```

=====

Below is an optimized crystal structure of Li4CdP, with properties calculated at the PBE level.

Computed properties:
For the density of states at the Fermi level, the calculation gives 0.41 states/eV/atom. The size of the total moment is 0.80 μB/f.u. The calculated formation energy comes out at -11 meV per atom.

Geometry as CIF:
```
data_Li4CdP
_symmetry_space_group_name_H-M 'P 1'
_symmetry_Int_Tables_number 1
_symmetry_space_group_name_Hall 'P 1'
_cell_length_a 5.208
_cell_length_b 5.208
_cell_length_c 5.208
_cell_angle_alpha 60.00
_cell_angle_beta 60.00
_cell_angle_gamma 60.00
loop_
_atom_site_label
_atom_site_fract_x
_atom_site_fract_y
_atom_site_fract_z
Li1 0.124 0.124 0.124
Li2 0.124 0.124 0.627
Li3 0.124 0.627 0.124
Li4 0.627 0.124 0.124
Cd1 0.500 0.500 0.500
P1 0.750 0.750 0.750
```

=====

Below is an optimized crystal structure of Li2Cd2P, with properties calculated at the PBE level.

Computed properties:
For the density of states at the Fermi level, the calculation gives 0.21 states/eV/atom. The size of the total moment is 0.00 μB/f.u. The value obtained for the energy above the most stable polymorph in this dataset is 0.29 eV/f.u. The calculated formation energy comes out at -88 meV per atom.

Geometry as CIF:
```
data_Li2Cd2P
_symmetry_space_group_name_H-M 'P 1'
_symmetry_Int_Tables_number 1
_symmetry_space_group_name_Hall 'P 1'
_cell_length_a 6.870
_cell_length_b 6.870
_cell_length_c 4.326
_cell_angle_alpha 90.00
_cell_angle_beta 90.00
_cell_angle_gamma 90.00
loop_
_atom_site_label
_atom_site_fract_x
_atom_site_fract_y
_atom_site_fract_z
Li1 0.164 0.336 0.000
Li2 0.336 0.836 0.000
Li3 0.664 0.164 0.000
Li4 0.836 0.664 0.000
Cd1 0.141 0.641 0.500
Cd2 0.359 0.141 0.500
Cd3 0.641 0.859 0.500
Cd4 0.859 0.359 0.500
P1 0.000 0.000 0.500
P2 0.500 0.500 0.500
```

=====

Below is an optimized crystal structure of LiCdP, with properties calculated at the PBE level.

Computed properties:
For the density of states at the Fermi level, the calculation gives 0.26 states/eV/atom. The size of the total moment is 0.00 μB/f.u. The calculated formation energy comes out at -134 meV per atom.

Geometry as CIF:
```
data_LiCdP
_symmetry_space_group_name_H-M 'P 1'
_symmetry_Int_Tables_number 1
_symmetry_space_group_name_Hall 'P 1'
_cell_length_a 3.754
_cell_length_b 3.754
_cell_length_c 7.608
_cell_angle_alpha 90.00
_cell_angle_beta 90.00
_cell_angle_gamma 90.00
loop_
_atom_site_label
_atom_site_fract_x
_atom_site_fract_y
_atom_site_fract_z
Li1 0.000 0.000 0.000
Li2 0.500 0.500 0.500
Cd1 0.000 0.000 0.330
Cd2 0.500 0.500 0.830
P1 0.000 0.000 0.680
P2 0.500 0.500 0.180
```